Entry 1:
Entry from Alexandria via LeMat-Bulk: an optimized crystal structure of ScSiAg (PBE).

Lattice parameters (Å, degrees): 3.305 4.290 7.600 90.00 90.00 90.00
Space group Pmmm (No. 47)
Inequivalent atoms, fractional coordinates:
Sc (0.000, 0.000, 0.000) (multiplicity 1)
Sc (0.000, 0.500, 0.500) (multiplicity 1)
Si (0.500, 0.000, 0.343) (multiplicity 2)
Ag (0.500, 0.500, 0.176) (multiplicity 2)

## Properties
- ΔE_f (raw): -1.186 eV/f.u.
- Uncorrected energy: -31.584 eV/cell
- Volume: 53.9 Å³/f.u.

***

Entry 2:
Entry from Alexandria via LeMat-Bulk: an optimized crystal structure of ScSi2Ag (PBE).

Lattice parameters (Å, degrees): 3.975 3.975 8.698 90.00 90.00 90.00
Space group I4/mmm (No. 139)
Inequivalent atoms, fractional coordinates:
Sc (0.000, 0.000, 0.000) (multiplicity 2)
Si (0.000, 0.500, 0.250) (multiplicity 4)
Ag (0.000, 0.000, 0.500) (multiplicity 2)

## Properties
- ΔE_f (raw): -0.257 eV/f.u.
- Uncorrected energy: -40.571 eV/cell
- Volume: 68.7 Å³/f.u.

***

Entry 3:
Entry from Alexandria via LeMat-Bulk: an optimized crystal structure of ScSi2Ag (PBE).

Lattice parameters (Å, degrees): 3.333 3.333 6.158 90.00 90.00 90.00
Space group P4mm (No. 99)
Inequivalent atoms, fractional coordinates:
Sc (0.000, 0.000, 0.000) (multiplicity 1)
Si (0.000, 0.000, 0.457) (multiplicity 1)
Si (0.500, 0.500, 0.260) (multiplicity 1)
Ag (0.500, 0.500, 0.690) (multiplicity 1)

## Properties
- ΔE_f (raw): -0.312 eV/f.u.
- Uncorrected energy: -20.341 eV/cell
- Volume: 68.4 Å³/f.u.

***

Entry 4:
Entry from Alexandria via LeMat-Bulk: an optimized crystal structure of ScSiAg (PBE).

Lattice parameters (Å, degrees): 4.075 5.008 5.822 84.48 89.92 66.05
Space group P1 (No. 1)
Inequivalent atoms, fractional coordinates:
Sc (0.000, 0.000, 0.000) (multiplicity 1)
Sc (0.362, 0.276, 0.615) (multiplicity 1)
Si (0.302, 0.397, 0.078) (multiplicity 1)
Si (0.677, 0.646, 0.791) (multiplicity 1)
Ag (0.051, 0.899, 0.494) (multiplicity 1)
Ag (0.722, 0.556, 0.302) (multiplicity 1)

## Properties
- ΔE_f (raw): -0.930 eV/f.u.
- Uncorrected energy: -31.072 eV/cell
- Volume: 54.0 Å³/f.u.

***

Entry 5:
Entry from Alexandria via LeMat-Bulk: an optimized crystal structure of Sc2SiAg (PBE).

Lattice parameters (Å, degrees): 3.303 4.206 5.776 90.00 90.00 90.00
Space group Pmm2 (No. 25)
Inequivalent atoms, fractional coordinates:
Sc (0.000, 0.000, 0.000) (multiplicity 1)
Sc (0.500, 0.500, 0.330) (multiplicity 1)
Si (0.000, 0.000, 0.481) (multiplicity 1)
Ag (0.500, 0.500, 0.808) (multiplicity 1)

## Properties
- ΔE_f (raw): -0.921 eV/f.u.
- Uncorrected energy: -21.858 eV/cell
- Volume: 80.3 Å³/f.u.

***

Entry 6:
Entry from Alexandria via LeMat-Bulk: an optimized crystal structure of ScSiAg (PBE).

Lattice parameters (Å, degrees): 6.811 4.038 11.699 90.00 90.26 90.00
Space group P2_1/m (No. 11)
Inequivalent atoms, fractional coordinates:
Sc (0.029, 0.250, 0.209) (multiplicity 2)
Sc (0.341, 0.750, 0.583) (multiplicity 2)
Sc (0.470, 0.750, 0.878) (multiplicity 2)
Si (0.252, 0.750, 0.084) (multiplicity 2)
Si (0.256, 0.250, 0.417) (multiplicity 2)
Si (0.260, 0.250, 0.751) (multiplicity 2)
Ag (0.003, 0.250, 0.590) (multiplicity 2)
Ag (0.145, 0.250, 0.960) (multiplicity 2)
Ag (0.370, 0.750, 0.295) (multiplicity 2)

## Properties
- ΔE_f (raw): -1.592 eV/f.u.
- Uncorrected energy: -97.189 eV/cell
- Volume: 53.6 Å³/f.u.

***

Entry 7:
Entry from Alexandria via LeMat-Bulk: an optimized crystal structure of ScSi2Ag (PBE).

Lattice parameters (Å, degrees): 2.987 2.987 7.707 90.00 90.00 90.00
Space group P4/mmm (No. 123)
Inequivalent atoms, fractional coordinates:
Sc (0.000, 0.000, 0.000) (multiplicity 1)
Si (0.500, 0.500, 0.247) (multiplicity 2)
Ag (0.000, 0.000, 0.500) (multiplicity 1)

## Properties
- ΔE_f (raw): -0.014 eV/f.u.
- Uncorrected energy: -20.043 eV/cell
- Volume: 68.8 Å³/f.u.

***

Entry 8:
Entry from Alexandria via LeMat-Bulk: an optimized crystal structure of Sc2SiAg (PBE).

Lattice parameters (Å, degrees): 4.295 4.295 18.816 90.00 90.00 90.00
Space group I-42d (No. 122)
Inequivalent atoms, fractional coordinates:
Sc (0.229, 0.250, 0.125) (multiplicity 8)
Si (0.000, 0.000, 0.000) (multiplicity 4)
Ag (0.000, 0.000, 0.500) (multiplicity 4)

## Properties
- ΔE_f (raw): 0.844 eV/f.u.
- Uncorrected energy: -80.372 eV/cell
- Volume: 86.8 Å³/f.u.

***

Entry 9:
Entry from Alexandria via LeMat-Bulk: an optimized crystal structure of ScSiAg2 (PBE).

Lattice parameters (Å, degrees): 4.077 4.077 8.663 90.00 90.00 90.00
Space group I4/mmm (No. 139)
Inequivalent atoms, fractional coordinates:
Sc (0.000, 0.000, 0.000) (multiplicity 2)
Si (0.000, 0.000, 0.500) (multiplicity 2)
Ag (0.000, 0.500, 0.250) (multiplicity 4)

## Properties
- ΔE_f (raw): -0.737 eV/f.u.
- Uncorrected energy: -36.389 eV/cell
- Volume: 72.0 Å³/f.u.

***

Entry 10:
Entry from Alexandria via LeMat-Bulk: an optimized crystal structure of ScSiAg2 (PBE).

Lattice parameters (Å, degrees): 10.100 3.081 4.781 90.00 103.65 90.00
Space group C2/m (No. 12)
Inequivalent atoms, fractional coordinates:
Sc (0.000, 0.000, 0.000) (multiplicity 2)
Si (0.000, 0.500, 0.500) (multiplicity 2)
Ag (0.237, 0.000, 0.743) (multiplicity 4)

## Properties
- ΔE_f (raw): -0.698 eV/f.u.
- Uncorrected energy: -36.310 eV/cell
- Volume: 72.3 Å³/f.u.

***

Entry 11:
Entry from Alexandria via LeMat-Bulk: an optimized crystal structure of ScSi2Ag (PBE).

Lattice parameters (Å, degrees): 3.879 3.879 8.949 90.00 90.00 90.00
Space group I-4m2 (No. 119)
Inequivalent atoms, fractional coordinates:
Sc (0.000, 0.000, 0.000) (multiplicity 2)
Si (0.000, 0.000, 0.500) (multiplicity 2)
Si (0.000, 0.500, 0.750) (multiplicity 2)
Ag (0.000, 0.500, 0.250) (multiplicity 2)

## Properties
- ΔE_f (raw): -0.796 eV/f.u.
- Uncorrected energy: -41.650 eV/cell
- Volume: 67.3 Å³/f.u.

***

Entry 12:
Entry from Alexandria via LeMat-Bulk: an optimized crystal structure of ScSi2Ag (PBE).

Lattice parameters (Å, degrees): 8.248 3.874 4.859 90.00 111.94 90.00
Space group C2/m (No. 12)
Inequivalent atoms, fractional coordinates:
Sc (0.000, 0.000, 0.000) (multiplicity 2)
Si (0.242, 0.000, 0.668) (multiplicity 4)
Ag (0.000, 0.500, 0.500) (multiplicity 2)

## Properties
- ΔE_f (raw): -0.544 eV/f.u.
- Uncorrected energy: -41.146 eV/cell
- Volume: 72.0 Å³/f.u.